The following is a DFT calculation (GGA-PBE) of an optimized crystal structure of InPb2I.

Summary:
* formation energy (no corrections): 0.0742 eV/atom
* total magnetic moment: 0.0 Bohr magnetons per cell
* ΔE to the lowest computed polymorph: 131 meV/atom
* uncorrected energy: -2.852 eV/atom

```
data_InPb2I
_symmetry_space_group_name_H-M 'F m -3 m'
_symmetry_Int_Tables_number 225
_symmetry_space_group_name_Hall '-F 4 2 3'
_cell_length_a 8.0094
_cell_length_b 8.0094
_cell_length_c 8.0094
_cell_angle_alpha 90.00
_cell_angle_beta 90.00
_cell_angle_gamma 90.00
loop_
_atom_site_label
_atom_site_type_symbol
_atom_site_fract_x
_atom_site_fract_y
_atom_site_fract_z
In1 In 0.0000 0.0000 0.0000
Pb1 Pb 0.2500 0.2500 0.2500
I1 I 0.0000 0.0000 0.5000
```

The following is a DFT calculation (GGA-PBE) of an optimized crystal structure of AcLa4NdDy2.

Summary:
* total magnetic moment: 0.0 Bohr magnetons per cell
* formation energy: 0.029 eV/atom
* uncorrected energy: -4.694 eV/atom

```
data_AcLa4NdDy2
_symmetry_space_group_name_H-M 'C 1 2/m 1'
_symmetry_Int_Tables_number 12
_symmetry_space_group_name_Hall '-C 2y'
_cell_length_a 11.7243
_cell_length_b 5.2603
_cell_length_c 10.5687
_cell_angle_alpha 90.00
_cell_angle_beta 116.90
_cell_angle_gamma 90.00
loop_
_atom_site_label
_atom_site_type_symbol
_atom_site_fract_x
_atom_site_fract_y
_atom_site_fract_z
Ac1 Ac 0.0000 0.0000 0.0000
La1 La 0.2475 0.0000 0.8709
La2 La 0.2493 0.5000 0.6230
Nd1 Nd 0.0000 0.0000 0.5000
Dy1 Dy 0.0008 0.5000 0.7456
```

The following is a DFT calculation (GGA-PBE) of an optimized crystal structure of Ho2LuGa.

Summary:
* total magnetic moment: 0.0 Bohr magnetons per cell
* formation energy: 0.135 eV/atom
* ΔE to the lowest computed polymorph: 407 meV/atom
* uncorrected energy: -4.041 eV/atom

```
data_Ho2LuGa
_symmetry_space_group_name_H-M 'R -3 m'
_symmetry_Int_Tables_number 166
_symmetry_space_group_name_Hall '-R 3 2"'
_cell_length_a 3.4481
_cell_length_b 3.4481
_cell_length_c 34.5349
_cell_angle_alpha 90.00
_cell_angle_beta 90.00
_cell_angle_gamma 120.00
loop_
_atom_site_label
_atom_site_type_symbol
_atom_site_fract_x
_atom_site_fract_y
_atom_site_fract_z
Ho1 Ho 0.0000 0.0000 0.0863
Lu1 Lu 0.0000 0.0000 0.5000
Ga1 Ga 0.0000 0.0000 0.0000
```

The following is a DFT calculation (GGA-PBE) of an optimized crystal structure of YAl2Os.

Summary:
* total magnetic moment: 0.2 Bohr magnetons per cell
* formation energy: -0.387 eV/atom
* uncorrected energy: -6.682 eV/atom

```
data_YAl2Os
_symmetry_space_group_name_H-M 'P 4/m m m'
_symmetry_Int_Tables_number 123
_symmetry_space_group_name_Hall '-P 4 2'
_cell_length_a 3.1508
_cell_length_b 3.1508
_cell_length_c 7.2605
_cell_angle_alpha 90.00
_cell_angle_beta 90.00
_cell_angle_gamma 90.00
loop_
_atom_site_label
_atom_site_type_symbol
_atom_site_fract_x
_atom_site_fract_y
_atom_site_fract_z
Y1 Y 0.0000 0.0000 0.0000
Al1 Al 0.5000 0.5000 0.3128
Os1 Os 0.0000 0.0000 0.5000
```

Look up the uncorrected energy of the second one. -4.694 eV/atom

Which formula does entry 2 have? AcLa4NdDy2